# OsS

OsS after structural relaxation (PBE, OQMD via LeMat-Bulk).

Summary:
E, eV/atom: -7.396
Total magnetic moment, μB/f.u.: 0.0

Structure (POSCAR):
```
OsS
1.0
0.0000 2.5960 2.5960
2.5960 0.0000 2.5960
2.5960 2.5960 0.0000
Os S
1 1
Cartesian
0.0000 0.0000 0.0000
3.8939 3.8939 3.8939
```